Record 1
GGA-PBE Mg2AgPd2, relaxed; energy of formation from the pure elements = -0.474 eV/atom; energy relative to the lowest polymorph listed for this composition = 0.05 eV/f.u.; DOS(E_F) = 0.339 states/eV/atom
1.0
2.158 -6.982 0.000
2.158 6.982 0.000
0.000 0.000 5.597
Mg Ag Pd
4 2 4
Direct
0.086 0.914 0.500
0.299 0.701 0.706
0.701 0.299 0.206
0.914 0.086 0.000
0.112 0.888 0.989
0.888 0.112 0.489
0.311 0.689 0.194
0.491 0.509 0.769
0.509 0.491 0.269
0.689 0.311 0.694

***

Record 2
GGA-PBE Cr3NiAg, relaxed; energy of formation from the pure elements = 1.150 eV/atom; energy relative to the lowest polymorph listed for this composition = 0.00 eV/f.u.; DOS(E_F) = 1.270 states/eV/atom
1.0
4.540 0.000 0.000
0.000 4.540 0.000
0.000 0.000 4.540
Cr Ni Ag
3 1 1
Direct
0.000 0.000 0.500
0.000 0.500 0.000
0.500 0.000 0.000
0.000 0.000 0.000
0.500 0.500 0.500

***

In μB/cell, the spin magnetization values for the records above are, in order, 0.0 11.5.